Tl2Hg | the Alexandria database | meta-GGA SCAN | PBEsol geometry; formation energy = 0.031 eV per atom; final energy = -70.93 eV per atom; spin magnetization = 0.00 μB per formula unit; energy relative to the lowest polymorph listed for this composition = 41 meV/atom
1.0
-1.735 1.735 13.699
1.735 -1.735 13.699
1.735 1.735 -13.699
Tl Hg
4 2
direct
0.301 0.551 0.750
0.449 0.699 0.750
0.551 0.301 0.250
0.699 0.449 0.250
0.125 0.875 0.250
0.875 0.125 0.750